[1]
# GaPd4 GGA-PBE optimized geometry
# energy relative to the lowest polymorph listed for this composition: 729 meV/atom
# crystal system: cubic
data_GaPd4
_chemical_formula_sum 'Ga1 Pd4'
_symmetry_space_group_name_H-M 'P m -3 m'
_symmetry_Int_Tables_number 221
_symmetry_space_group_name_Hall '-P 4 2 3'
_cell_length_a 4.582
_cell_length_b 4.582
_cell_length_c 4.582
_cell_angle_alpha 90.00
_cell_angle_beta 90.00
_cell_angle_gamma 90.00
loop_
_atom_site_label
_atom_site_fract_x
_atom_site_fract_y
_atom_site_fract_z
Ga1 0.000 0.000 0.000
Pd1 0.000 0.000 0.500
Pd2 0.500 0.500 0.500

***

[2]
# Ga5Pd GGA-PBE optimized geometry
# energy relative to the lowest polymorph listed for this composition: 20 meV/atom
# crystal system: monoclinic
data_Ga5Pd
_chemical_formula_sum 'Ga10 Pd2'
_symmetry_space_group_name_H-M 'P 1 21/m 1'
_symmetry_Int_Tables_number 11
_symmetry_space_group_name_Hall '-P 2yb'
_cell_length_a 4.009
_cell_length_b 12.609
_cell_length_c 4.809
_cell_angle_alpha 90.00
_cell_angle_beta 113.85
_cell_angle_gamma 90.00
loop_
_atom_site_label
_atom_site_fract_x
_atom_site_fract_y
_atom_site_fract_z
Ga1 0.054 0.122 0.123
Ga2 0.225 0.566 0.442
Ga3 0.337 0.250 0.704
Pd1 0.369 0.750 0.712

***

[3]
# Ga2Pd3 GGA-PBE optimized geometry
# energy relative to the lowest polymorph listed for this composition: 62 meV/atom
# crystal system: trigonal
data_Ga2Pd3
_chemical_formula_sum 'Ga12 Pd18'
_symmetry_space_group_name_H-M 'R -3 c'
_symmetry_Int_Tables_number 167
_symmetry_space_group_name_Hall '-R 3 2"c'
_cell_length_a 7.0813
_cell_length_b 7.0813
_cell_length_c 11.0248
_cell_angle_alpha 90.00
_cell_angle_beta 90.00
_cell_angle_gamma 120.00
loop_
_atom_site_label
_atom_site_fract_x
_atom_site_fract_y
_atom_site_fract_z
Ga1 0.0000 0.0000 0.1230
Pd1 0.0000 0.3087 0.2500

***

[4]
# GaPd3 GGA-PBE optimized geometry
# final energy: -5.10 eV/atom
# crystal system: orthorhombic
data_GaPd3
_chemical_formula_sum 'Ga2 Pd6'
_symmetry_space_group_name_H-M 'I m m 2'
_symmetry_Int_Tables_number 44
_symmetry_space_group_name_Hall 'I 2 -2'
_cell_length_a 2.984
_cell_length_b 8.959
_cell_length_c 4.538
_cell_angle_alpha 90.00
_cell_angle_beta 90.00
_cell_angle_gamma 90.00
loop_
_atom_site_label
_atom_site_fract_x
_atom_site_fract_y
_atom_site_fract_z
Ga1 0.000 0.000 0.000
Pd1 0.000 0.273 0.498
Pd2 0.000 0.500 0.999

***

[5]
# Ga5Pd2 GGA-PBE optimized geometry
# final energy: -4.00 eV/atom
# crystal system: monoclinic
data_Ga5Pd2
_chemical_formula_sum 'Ga20 Pd8'
_symmetry_space_group_name_H-M 'C 1 2/c 1'
_symmetry_Int_Tables_number 15
_symmetry_space_group_name_Hall '-C 2yc'
_cell_length_a 12.116
_cell_length_b 6.197
_cell_length_c 6.530
_cell_angle_alpha 90.00
_cell_angle_beta 94.75
_cell_angle_gamma 90.00
loop_
_atom_site_label
_atom_site_fract_x
_atom_site_fract_y
_atom_site_fract_z
Ga1 0.000 0.122 0.250
Ga2 0.102 0.377 0.973
Ga3 0.218 0.065 0.322
Pd1 0.100 0.225 0.611

***

[6]
# GaPd GGA-PBE optimized geometry
# final energy: -4.41 eV/atom
# crystal system: hexagonal
data_GaPd
_chemical_formula_sum 'Ga6 Pd6'
_symmetry_space_group_name_H-M 'P 63/m'
_symmetry_Int_Tables_number 176
_symmetry_space_group_name_Hall '-P 6c'
_cell_length_a 9.0327
_cell_length_b 9.0327
_cell_length_c 3.0114
_cell_angle_alpha 90.00
_cell_angle_beta 90.00
_cell_angle_gamma 120.00
loop_
_atom_site_label
_atom_site_fract_x
_atom_site_fract_y
_atom_site_fract_z
Ga1 0.0481 0.3025 0.2500
Pd1 0.1394 0.6338 0.2500

***

[7]
# Ga5Pd13 GGA-PBE optimized geometry
# final energy: -5.14 eV/atom
# crystal system: monoclinic
data_Ga5Pd13
_chemical_formula_sum 'Ga10 Pd26'
_symmetry_space_group_name_H-M 'C 1 2/m 1'
_symmetry_Int_Tables_number 12
_symmetry_space_group_name_Hall '-C 2y'
_cell_length_a 24.606
_cell_length_b 4.089
_cell_length_c 5.525
_cell_angle_alpha 90.00
_cell_angle_beta 102.43
_cell_angle_gamma 90.00
loop_
_atom_site_label
_atom_site_fract_x
_atom_site_fract_y
_atom_site_fract_z
Ga1 0.000 0.000 0.000
Ga2 0.106 0.000 0.644
Ga3 0.177 0.500 0.313
Pd1 0.000 0.000 0.500
Pd2 0.045 0.500 0.849
Pd3 0.070 0.500 0.374
Pd4 0.113 0.000 0.125
Pd5 0.160 0.500 0.829
Pd6 0.213 0.000 0.592
Pd7 0.224 0.000 0.108

***

[8]
# GaPd GGA-PBE optimized geometry
# final energy: -4.55 eV/atom
# crystal system: orthorhombic
data_GaPd
_chemical_formula_sum 'Ga16 Pd16'
_symmetry_space_group_name_H-M 'F d d d'
_symmetry_Int_Tables_number 70
_cell_length_a 7.111
_cell_length_b 7.382
_cell_length_c 9.948
_cell_angle_alpha 90.00
_cell_angle_beta 90.00
_cell_angle_gamma 90.00
loop_
_symmetry_equiv_pos_as_xyz
'x,y,z'
'-x,-y,-z'
'-x+1/4,-y+1/4,z'
'x+1/4,y+1/4,-z'
'x,-y+1/4,-z+1/4'
'-x,y+1/4,z+1/4'
'-x+1/4,y,-z+1/4'
'x+1/4,-y,z+1/4'
'x,y+1/2,z+1/2'
'-x,-y+1/2,-z+1/2'
'-x+1/4,-y+3/4,z+1/2'
'x+1/4,y+3/4,-z+1/2'
'x,-y+3/4,-z+3/4'
'-x,y+3/4,z+3/4'
'-x+1/4,y+1/2,-z+3/4'
'x+1/4,-y+1/2,z+3/4'
'x+1/2,y,z+1/2'
'-x+1/2,-y,-z+1/2'
'-x+3/4,-y+1/4,z+1/2'
'x+3/4,y+1/4,-z+1/2'
'x+1/2,-y+1/4,-z+3/4'
'-x+1/2,y+1/4,z+3/4'
'-x+3/4,y,-z+3/4'
'x+3/4,-y,z+3/4'
'x+1/2,y+1/2,z'
'-x+1/2,-y+1/2,-z'
'-x+3/4,-y+3/4,z'
'x+3/4,y+3/4,-z'
'x+1/2,-y+3/4,-z+1/4'
'-x+1/2,y+3/4,z+1/4'
'-x+3/4,y+1/2,-z+1/4'
'x+3/4,-y+1/2,z+1/4'
loop_
_atom_site_label
_atom_site_fract_x
_atom_site_fract_y
_atom_site_fract_z
Ga1 0.065 0.375 0.375
Pd1 0.125 0.319 0.625

***

[9]
# GaPd GGA-PBE optimized geometry
# final energy: -4.59 eV/atom
# crystal system: orthorhombic
data_GaPd
_chemical_formula_sum 'Ga6 Pd6'
_symmetry_space_group_name_H-M 'A m m 2'
_symmetry_Int_Tables_number 38
_symmetry_space_group_name_Hall 'A 2 -2'
_cell_length_a 4.278
_cell_length_b 8.404
_cell_length_c 5.412
_cell_angle_alpha 90.00
_cell_angle_beta 90.00
_cell_angle_gamma 90.00
loop_
_atom_site_label
_atom_site_fract_x
_atom_site_fract_y
_atom_site_fract_z
Ga1 0.000 0.000 0.000
Ga2 0.500 0.170 0.678
Pd1 0.000 0.209 0.389
Pd2 0.500 0.000 0.265

***

[10]
# Ga2Pd5 GGA-PBE optimized geometry
# energy relative to the lowest polymorph listed for this composition: 30 meV/atom
# crystal system: orthorhombic
data_Ga2Pd5
_chemical_formula_sum 'Ga8 Pd20'
_symmetry_space_group_name_H-M 'I b a m'
_symmetry_Int_Tables_number 72
_symmetry_space_group_name_Hall '-I 2 2c'
_cell_length_a 6.264
_cell_length_b 12.310
_cell_length_c 5.577
_cell_angle_alpha 90.00
_cell_angle_beta 90.00
_cell_angle_gamma 90.00
loop_
_atom_site_label
_atom_site_fract_x
_atom_site_fract_y
_atom_site_fract_z
Ga1 0.231 0.124 0.000
Pd1 0.000 0.269 0.250
Pd2 0.000 0.500 0.250
Pd3 0.163 0.087 0.500

***

[11]
# GaPd4 GGA-PBE optimized geometry
# energy relative to the lowest polymorph listed for this composition: 38 meV/atom
# crystal system: orthorhombic
data_GaPd4
_chemical_formula_sum 'Ga2 Pd8'
_symmetry_space_group_name_H-M 'C m m m'
_symmetry_Int_Tables_number 65
_symmetry_space_group_name_Hall '-C 2 2'
_cell_length_a 4.038
_cell_length_b 10.210
_cell_length_c 3.951
_cell_angle_alpha 90.00
_cell_angle_beta 90.00
_cell_angle_gamma 90.00
loop_
_atom_site_label
_atom_site_fract_x
_atom_site_fract_y
_atom_site_fract_z
Ga1 0.000 0.000 0.000
Pd1 0.000 0.153 0.500
Pd2 0.000 0.351 0.000

***

[12]
# GaPd GGA-PBE optimized geometry
# final energy: -4.19 eV/atom
# crystal system: cubic
data_GaPd
_chemical_formula_sum 'Ga4 Pd4'
_symmetry_space_group_name_H-M 'F -4 3 m'
_symmetry_Int_Tables_number 216
_symmetry_space_group_name_Hall 'F -4 2 3'
_cell_length_a 5.661
_cell_length_b 5.661
_cell_length_c 5.661
_cell_angle_alpha 90.00
_cell_angle_beta 90.00
_cell_angle_gamma 90.00
loop_
_atom_site_label
_atom_site_fract_x
_atom_site_fract_y
_atom_site_fract_z
Ga1 0.000 0.000 0.000
Pd1 0.250 0.250 0.750

***

[13]
# Ga6Pd GGA-PBE optimized geometry
# energy relative to the lowest polymorph listed for this composition: 0 meV/atom
# crystal system: orthorhombic
data_Ga6Pd
_chemical_formula_sum 'Ga24 Pd4'
_symmetry_space_group_name_H-M 'C m c m'
_symmetry_Int_Tables_number 63
_symmetry_space_group_name_Hall '-C 2c 2'
_cell_length_a 7.510
_cell_length_b 8.444
_cell_length_c 8.074
_cell_angle_alpha 90.00
_cell_angle_beta 90.00
_cell_angle_gamma 90.00
loop_
_atom_site_label
_atom_site_fract_x
_atom_site_fract_y
_atom_site_fract_z
Ga1 0.000 0.175 0.014
Ga2 0.196 0.500 0.000
Ga3 0.201 0.278 0.750
Pd1 0.000 0.390 0.250

***

[14]
# GaPd GGA-PBE optimized geometry
# final energy: -4.63 eV/atom
# crystal system: trigonal
data_GaPd
_chemical_formula_sum 'Ga3 Pd3'
_symmetry_space_group_name_H-M 'R -3 m'
_symmetry_Int_Tables_number 166
_symmetry_space_group_name_Hall '-R 3 2"'
_cell_length_a 2.9549
_cell_length_b 2.9549
_cell_length_c 12.2284
_cell_angle_alpha 90.00
_cell_angle_beta 90.00
_cell_angle_gamma 120.00
loop_
_atom_site_label
_atom_site_fract_x
_atom_site_fract_y
_atom_site_fract_z
Ga1 0.0000 0.0000 0.0000
Pd1 0.0000 0.0000 0.5000

***

[15]
# GaPd3 GGA-PBE optimized geometry
# final energy: -5.12 eV/atom
# crystal system: orthorhombic
data_GaPd3
_chemical_formula_sum 'Ga4 Pd12'
_symmetry_space_group_name_H-M 'C m c m'
_symmetry_Int_Tables_number 63
_symmetry_space_group_name_Hall '-C 2c 2'
_cell_length_a 2.918
_cell_length_b 10.639
_cell_length_c 7.828
_cell_angle_alpha 90.00
_cell_angle_beta 90.00
_cell_angle_gamma 90.00
loop_
_atom_site_label
_atom_site_fract_x
_atom_site_fract_y
_atom_site_fract_z
Ga1 0.000 0.240 0.250
Pd1 0.000 0.132 0.545
Pd2 0.000 0.461 0.750

***

[16]
# Ga5Pd GGA-PBE optimized geometry
# energy relative to the lowest polymorph listed for this composition: 82 meV/atom
# crystal system: orthorhombic
data_Ga5Pd
_chemical_formula_sum 'Ga10 Pd2'
_symmetry_space_group_name_H-M 'C m m m'
_symmetry_Int_Tables_number 65
_symmetry_space_group_name_Hall '-C 2 2'
_cell_length_a 4.704
_cell_length_b 16.215
_cell_length_c 2.835
_cell_angle_alpha 90.00
_cell_angle_beta 90.00
_cell_angle_gamma 90.00
loop_
_atom_site_label
_atom_site_fract_x
_atom_site_fract_y
_atom_site_fract_z
Ga1 0.000 0.000 0.000
Ga2 0.000 0.199 0.500
Ga3 0.000 0.361 0.000
Pd1 0.000 0.500 0.500

***

[17]
# Ga3Pd5 GGA-PBE optimized geometry
# final energy: -4.95 eV/atom
# crystal system: tetragonal
data_Ga3Pd5
_chemical_formula_sum 'Ga12 Pd20'
_symmetry_space_group_name_H-M 'I 4/m c m'
_symmetry_Int_Tables_number 140
_symmetry_space_group_name_Hall '-I 4 2c'
_cell_length_a 9.690
_cell_length_b 9.690
_cell_length_c 5.208
_cell_angle_alpha 90.00
_cell_angle_beta 90.00
_cell_angle_gamma 90.00
loop_
_atom_site_label
_atom_site_fract_x
_atom_site_fract_y
_atom_site_fract_z
Ga1 0.000 0.000 0.250
Ga2 0.162 0.338 0.000
Pd1 0.000 0.500 0.250
Pd2 0.077 0.218 0.500

***

[18]
# GaPd GGA-PBE optimized geometry
# final energy: -4.67 eV/atom
# crystal system: orthorhombic
data_GaPd
_chemical_formula_sum 'Ga8 Pd8'
_symmetry_space_group_name_H-M 'P 21 21 21'
_symmetry_Int_Tables_number 19
_symmetry_space_group_name_Hall 'P 2ac 2ab'
_cell_length_a 5.198
_cell_length_b 6.642
_cell_length_c 7.393
_cell_angle_alpha 90.00
_cell_angle_beta 90.00
_cell_angle_gamma 90.00
loop_
_atom_site_label
_atom_site_fract_x
_atom_site_fract_y
_atom_site_fract_z
Ga1 0.152 0.004 0.140
Ga2 0.181 0.602 0.716
Pd1 0.011 0.645 0.043
Pd2 0.246 0.741 0.391

***

[19]
# GaPd6 GGA-PBE optimized geometry
# final energy: -5.11 eV/atom
# crystal system: trigonal
data_GaPd6
_chemical_formula_sum 'Ga3 Pd18'
_symmetry_space_group_name_H-M 'R -3 m'
_symmetry_Int_Tables_number 166
_symmetry_space_group_name_Hall '-R 3 2"'
_cell_length_a 4.4313
_cell_length_b 4.4313
_cell_length_c 18.9400
_cell_angle_alpha 90.00
_cell_angle_beta 90.00
_cell_angle_gamma 120.00
loop_
_atom_site_label
_atom_site_fract_x
_atom_site_fract_y
_atom_site_fract_z
Ga1 0.0000 0.0000 0.0000
Pd1 0.0000 0.0000 0.1384
Pd2 0.0000 0.0000 0.2882
Pd3 0.0000 0.0000 0.4304

***

[20]
# GaPd GGA-PBE optimized geometry
# final energy: -4.77 eV/atom
# crystal system: cubic
data_GaPd
_chemical_formula_sum 'Ga4 Pd4'
_symmetry_space_group_name_H-M 'P 21 3'
_symmetry_Int_Tables_number 198
_symmetry_space_group_name_Hall 'P 2ac 2ab 3'
_cell_length_a 4.958
_cell_length_b 4.958
_cell_length_c 4.958
_cell_angle_alpha 90.00
_cell_angle_beta 90.00
_cell_angle_gamma 90.00
loop_
_atom_site_label
_atom_site_fract_x
_atom_site_fract_y
_atom_site_fract_z
Ga1 0.157 0.343 0.657
Pd1 0.142 0.142 0.142

***

[21]
# Ga5Pd3 GGA-PBE optimized geometry
# final energy: -4.22 eV/atom
# crystal system: hexagonal
data_Ga5Pd3
_chemical_formula_sum 'Ga10 Pd6'
_symmetry_space_group_name_H-M 'P 63/m c m'
_symmetry_Int_Tables_number 193
_symmetry_space_group_name_Hall '-P 6c 2'
_cell_length_a 7.1710
_cell_length_b 7.1710
_cell_length_c 5.9929
_cell_angle_alpha 90.00
_cell_angle_beta 90.00
_cell_angle_gamma 120.00
loop_
_atom_site_label
_atom_site_fract_x
_atom_site_fract_y
_atom_site_fract_z
Ga1 0.0000 0.2233 0.2500
Ga2 0.3333 0.6667 0.0000
Pd1 0.0000 0.4173 0.7500